First-principles (GGA-PBE) data for a geometry-optimized LaSc2PbC structure, as listed in the Alexandria database.

Unit cell a=4.6864 b=4.6864 c=5.1709 alpha=90.00 beta=90.00 gamma=90.00
Space group P4/mmm (No. 123)
One atom of each set of equivalent atoms:
La: 0.0000 0.0000 0.0000 (multiplicity 1)
Sc: 0.0000 0.5000 0.5000 (multiplicity 2)
Pb: 0.5000 0.5000 0.0000 (multiplicity 1)
C: 0.0000 0.0000 0.5000 (multiplicity 1)

The calculation puts the energy at -32.9 eV/cell. For the formation energy, the calculation gives -2.4 eV/f.u. The value obtained for the density of states at the Fermi level is 3.179 states/eV per cell.

---

First-principles (GGA-PBE) data for a geometry-optimized KHfTeI2 structure, as listed in the Alexandria database.

Unit cell a=5.8134 b=5.8134 c=5.6080 alpha=90.00 beta=90.00 gamma=90.00
Space group P4/mmm (No. 123)
One atom of each set of equivalent atoms:
K: 0.0000 0.0000 0.0000 (multiplicity 1)
Hf: 0.5000 0.5000 0.5000 (multiplicity 1)
Te: 0.5000 0.5000 0.0000 (multiplicity 1)
I: 0.0000 0.5000 0.5000 (multiplicity 2)

The calculation puts the energy at -21.1 eV/cell. For the formation energy without anion corrections, the calculation gives -0.7547 eV per atom. The value obtained for the density of states at the Fermi level is 1.666 states/eV per cell. The calculation puts the offset from the most stable computed form at 0 meV/atom.

---

First-principles (GGA-PBE) data for a geometry-optimized Li2AlPb structure, as listed in the Alexandria database.

Unit cell a=4.2368 b=4.2368 c=8.6943 alpha=90.00 beta=90.00 gamma=90.00
Space group I4/mmm (No. 139)
One atom of each set of equivalent atoms:
Li: 0.0000 0.5000 0.2500 (multiplicity 4)
Al: 0.0000 0.0000 0.0000 (multiplicity 2)
Pb: 0.0000 0.0000 0.5000 (multiplicity 2)

The calculation puts the energy at -23.7 eV/cell. For the formation energy, the calculation gives -0.6 eV/f.u. The value obtained for the density of states at the Fermi level is 1.193 states/eV per cell.

---

First-principles (GGA-PBE) data for a geometry-optimized Sr2HgBr structure, as listed in the Alexandria database.

Unit cell a=7.6794 b=4.4315 c=8.8610 alpha=90.00 beta=106.86 gamma=90.00
Space group C2/m (No. 12)
One atom of each set of equivalent atoms:
Sr: 0.2468 0.0000 0.2384 (multiplicity 4)
Hg: 0.0000 0.5000 0.0000 (multiplicity 2)
Br: 0.0000 0.0000 0.5000 (multiplicity 2)

The calculation puts the energy at -18.7 eV/cell. For the formation energy without anion corrections, the calculation gives -0.9979 eV per atom. The value obtained for the density of states at the Fermi level is 6.141 states/eV per cell. The calculation puts the offset from the most stable computed form at 0 meV/atom.

---

First-principles (GGA-PBE) data for a geometry-optimized Rb3Se5I12 structure, as listed in the Alexandria database.

Unit cell a=20.2181 b=20.2181 c=20.2181 alpha=90.00 beta=90.00 gamma=90.00
Space group Ia-3d (No. 230)
One atom of each set of equivalent atoms:
Rb: 0.0000 0.2500 0.1250 (multiplicity 24)
Se: 0.0000 0.0000 0.0000 (multiplicity 16)
Se: 0.0000 0.2500 0.3750 (multiplicity 24)
I: 0.0275 0.1404 0.9583 (multiplicity 96)

The calculation puts the energy at -355.4 eV/cell. For the formation energy without anion corrections, the calculation gives -0.2751 eV per atom. The value obtained for the density of states at the Fermi level is 42.291 states/eV per cell.

---

First-principles (GGA-PBE) data for a geometry-optimized BeGaNi5 structure, as listed in the Alexandria database.

Unit cell a=7.0491 b=5.9280 c=7.8454 alpha=90.00 beta=96.47 gamma=90.00
Space group C2/c (No. 15)
One atom of each set of equivalent atoms:
Be: 0.0000 0.0628 0.2500 (multiplicity 4)
Ga: 0.0000 0.5000 0.0000 (multiplicity 4)
Ni: 0.0000 0.2863 0.7500 (multiplicity 4)
Ni: 0.1536 0.0849 0.0117 (multiplicity 8)
Ni: 0.1860 0.3567 0.2585 (multiplicity 8)

The calculation puts the energy at -143.8 eV/cell. For the formation energy, the calculation gives -0.3 eV/f.u. The value obtained for the density of states at the Fermi level is 28.751 states/eV per cell.

---

First-principles (GGA-PBE) data for a geometry-optimized VCrB structure, as listed in the Alexandria database.

Unit cell a=8.3204 b=2.9802 c=5.8357 alpha=90.00 beta=123.83 gamma=90.00
Space group C2/m (No. 12)
One atom of each set of equivalent atoms:
V: 0.0855 0.0000 0.3376 (multiplicity 4)
Cr: 0.1831 0.5000 0.0809 (multiplicity 4)
B: 0.1195 0.5000 0.6496 (multiplicity 4)

The calculation puts the energy at -107.8 eV/cell. For the formation energy, the calculation gives -1.5 eV/f.u. The value obtained for the density of states at the Fermi level is 6.297 states/eV per cell. The calculation puts the offset from the most stable computed form at 24 meV/atom.

---

First-principles (GGA-PBE) data for a geometry-optimized LaScPb2 structure, as listed in the Alexandria database.

Unit cell a=7.0370 b=9.1182 c=3.5621 alpha=90.00 beta=90.00 gamma=90.00
Space group Cmmm (No. 65)
One atom of each set of equivalent atoms:
La: 0.0000 0.0000 0.0000 (multiplicity 2)
Sc: 0.0000 0.5000 0.0000 (multiplicity 2)
Pb: 0.2500 0.2500 0.5000 (multiplicity 4)

The calculation puts the energy at -40.4 eV/cell. For the formation energy, the calculation gives -1.5 eV/f.u. The value obtained for the density of states at the Fermi level is 7.274 states/eV per cell.